1.
This record from Alexandria via LeMat-Bulk describes a relaxed BaTaH3 crystal. The functional is PBE.

```
BaTaH3
1.0
4.0813 0.0000 0.0000
0.0000 4.0813 0.0000
0.0000 0.0000 4.0813
Ba Ta H
1 1 3
direct
0.0000 0.0000 0.0000
0.5000 0.5000 0.5000
0.0000 0.5000 0.5000
0.5000 0.0000 0.5000
0.5000 0.5000 0.0000
```

The calculation puts the energy at -23.2 eV per formula unit. As for the space group: Pm-3m.


2.
This record from Alexandria via LeMat-Bulk describes a relaxed AcHo2Ga crystal. The functional is PBE.

```
AcHo2Ga
1.0
3.6184 0.0000 0.0000
0.0000 3.6184 0.0000
0.0000 0.0000 9.1356
Ac Ho Ga
1 2 1
direct
0.0000 0.0000 0.0000
0.5000 0.5000 0.3063
0.5000 0.5000 0.6937
0.0000 0.0000 0.5000
```

The calculation puts the energy at -17.3 eV per formula unit. The calculation puts the formation enthalpy at 0 K at -245 meV per atom. As for the space group: P4/mmm.


3.
This record from Alexandria via LeMat-Bulk describes a relaxed TbNd3Ho7 crystal. The functional is PBE.

```
TbNd3Ho7
1.0
7.0623 0.0000 0.0000
-3.5312 6.1161 0.0000
0.0000 0.0000 8.6783
Tb Nd Ho
1 3 7
direct
0.0000 0.0000 0.0000
0.1667 0.3335 0.3392
0.1667 0.8333 0.3392
0.6665 0.8333 0.3392
0.0016 0.5008 0.0007
0.3319 0.1659 0.6768
0.3333 0.6667 0.6781
0.4992 0.5008 0.0007
0.4992 0.9984 0.0007
0.8341 0.1659 0.6768
0.8341 0.6681 0.6768
```

The calculation puts the energy at -49.0 eV per formula unit. The calculation puts the formation enthalpy at 0 K at 176 meV per atom. As for the space group: P3m1.


4.
This record from Alexandria via LeMat-Bulk describes a relaxed LaY2Sb crystal. The functional is PBE.

```
LaY2Sb
1.0
3.3850 -5.5918 0.0000
3.3850 5.5918 0.0000
-1.5983 0.0000 3.2108
La Y Sb
1 2 1
direct
0.0000 0.0000 0.0000
0.0000 0.5000 0.5000
0.5000 0.0000 0.5000
0.5000 0.5000 0.0000
```

The calculation puts the energy at -23.3 eV per formula unit. The formation energy from raw total energies is -0.3411 eV/atom. As for the space group: C2/m.


5.
This record from Alexandria via LeMat-Bulk describes a relaxed PaVPt crystal. The functional is PBE.

```
PaVPt
1.0
4.4145 0.0000 0.0000
-2.2072 3.8230 0.0000
0.0000 0.0000 3.5809
Pa V Pt
1 1 1
direct
0.0000 0.0000 0.0000
0.3333 0.6667 0.5000
0.6667 0.3333 0.5000
```

The calculation puts the energy at -25.4 eV per formula unit. The calculation puts the formation enthalpy at 0 K at -250 meV per atom. As for the space group: P-6m2.


6.
This record from Alexandria via LeMat-Bulk describes a relaxed MnTlTe2 crystal. The functional is PBE.

```
MnTlTe2
1.0
3.9725 0.0000 0.0000
0.0207 7.0083 0.0000
0.0007 1.9892 8.9015
Mn Tl Te
2 2 4
direct
0.0000 0.0000 0.0000
0.4978 0.3030 0.7032
0.0010 0.8471 0.5184
0.4969 0.4544 0.1851
0.5003 0.9067 0.8200
0.5001 0.9512 0.2073
0.9974 0.3508 0.4960
0.9972 0.3964 0.8832
```

The calculation puts the energy at -18.6 eV per formula unit. The formation energy from raw total energies is -0.2000 eV/atom. As for the space group: P1.


N(E_F) list, top to bottom, in states/eV per cell: 4.057, 3.909, 16.708, 5.289, 4.938, 2.663